CeTm3Pb2 GGA-PBE relaxed; formation enthalpy at 0 K = -2.01 eV/f.u.; electronic total energy = -28.77 eV for the cell shown
1.0
4.5349 0.0000 0.0000
0.0000 4.5349 0.0000
0.0000 0.0000 8.5121
Tm Pb Ce
3 2 1
Direct
0.0000 0.0000 0.0000
0.5000 0.0000 0.3421
0.0000 0.5000 0.6579
0.5000 0.0000 0.7115
0.0000 0.5000 0.2885
0.5000 0.5000 0.0000



MnCrFe GGA-PBE relaxed; formation enthalpy at 0 K = 0.46 eV/f.u.; electronic total energy = -26.80 eV for the cell shown
1.0
4.3372 -0.0111 0.0157
2.2018 3.7368 -0.0157
-2.9045 -2.5034 2.0269
Fe Cr Mn
1 1 1
Direct
0.3303 0.3303 0.0000
0.9990 0.9990 0.0000
0.6707 0.6707 0.0000



Ni2PtBr GGA-PBE relaxed; formation energy from raw total energies = 0.5783 eV/atom; electronic total energy = -16.96 eV for the cell shown
1.0
1.2986 -3.9864 1.1875
-1.7387 -1.9011 3.5143
-2.6894 -3.3966 -0.4666
Ni Br Pt
2 1 1
Direct
0.2500 0.2500 0.2500
0.7500 0.7500 0.7500
0.0000 0.0000 0.0000
0.5000 0.5000 0.5000



K8SbO3 GGA-PBE relaxed; formation energy from raw total energies = -0.6889 eV/atom; electronic total energy = -36.04 eV for the cell shown
1.0
7.0449 0.0000 0.0000
0.0000 7.0449 0.0000
0.0000 0.0000 7.0449
Sb K O
1 8 3
Direct
0.0000 0.0000 0.0000
0.7303 0.7303 0.7303
0.2697 0.2697 0.2697
0.2697 0.7303 0.7303
0.2697 0.2697 0.7303
0.2697 0.7303 0.2697
0.7303 0.2697 0.2697
0.7303 0.2697 0.7303
0.7303 0.7303 0.2697
0.5000 0.5000 0.0000
0.5000 0.0000 0.5000
0.0000 0.5000 0.5000



Pu3Tl5S12 GGA-PBE relaxed; formation energy from raw total energies = -0.6041 eV/atom; electronic total energy = -465.76 eV for the cell shown
1.0
13.8812 0.0000 0.0000
-4.6271 13.0873 0.0000
-4.6271 -6.5437 11.3340
S Tl Pu
48 20 12
Direct
0.8610 0.5871 0.9139
0.9139 0.8268 0.5529
0.8268 0.9129 0.2739
0.7739 0.3268 0.9129
0.5529 0.2261 0.1390
0.9471 0.3610 0.2739
0.7739 0.4471 0.3610
0.5871 0.7261 0.6732
0.3610 0.9471 0.7739
0.1732 0.0871 0.7261
0.9471 0.5861 0.1732
0.6390 0.5861 0.9129
0.6390 0.0529 0.2261
0.4139 0.3610 0.5871
0.2739 0.8610 0.9471
0.7261 0.1390 0.0529
0.2261 0.5529 0.6390
0.5861 0.9471 0.6732
0.4471 0.6732 0.0861
0.4129 0.1390 0.5861
0.0861 0.9129 0.1390
0.5871 0.8610 0.4139
0.2739 0.4129 0.8268
0.3268 0.5529 0.4139
0.9129 0.8268 0.7739
0.4139 0.0529 0.3268
0.5861 0.6390 0.4129
0.8610 0.2739 0.4471
0.2261 0.6732 0.0871
0.3268 0.7739 0.4129
0.6732 0.4471 0.5861
0.6732 0.2261 0.5871
0.9129 0.0861 0.6390
0.0871 0.1732 0.2261
0.4129 0.2739 0.3268
0.5529 0.3268 0.9139
0.8268 0.9139 0.0529
0.1390 0.7261 0.5529
0.0871 0.9139 0.3610
0.3610 0.4139 0.0871
0.0529 0.4139 0.8268
0.0861 0.1732 0.4471
0.1390 0.4129 0.0861
0.1732 0.0861 0.9471
0.7261 0.5871 0.1732
0.9139 0.0871 0.8610
0.0529 0.6390 0.7261
0.4471 0.7739 0.8610
0.0000 0.0000 0.0000
0.5000 0.0000 0.5000
0.2500 0.8750 0.1250
0.6250 0.8750 0.2500
0.0000 0.5000 0.5000
0.5000 0.5000 0.0000
0.3750 0.2500 0.1250
0.1250 0.7500 0.3750
0.3750 0.1250 0.7500
0.1250 0.3750 0.2500
0.0000 0.0000 0.5000
0.6250 0.7500 0.8750
0.7500 0.1250 0.8750
0.8750 0.2500 0.6250
0.5000 0.0000 0.0000
0.5000 0.5000 0.5000
0.0000 0.5000 0.0000
0.7500 0.6250 0.3750
0.2500 0.3750 0.6250
0.8750 0.6250 0.7500
0.1250 0.2500 0.8750
0.3750 0.7500 0.6250
0.2500 0.6250 0.8750
0.7500 0.3750 0.1250
0.6250 0.3750 0.7500
0.8750 0.7500 0.1250
0.7500 0.8750 0.6250
0.1250 0.8750 0.7500
0.3750 0.6250 0.2500
0.8750 0.1250 0.2500
0.2500 0.1250 0.3750
0.6250 0.2500 0.3750



CaSeSN2 GGA-PBE relaxed; formation energy from raw total energies = 0.5877 eV/atom; electronic total energy = -23.33 eV for the cell shown
1.0
-2.1668 2.5171 2.1039
-3.2804 -1.6836 -1.3643
0.0360 -3.2826 3.9643
S N Se Ca
1 2 1 1
Direct
0.0000 0.0000 0.5000
0.0000 0.5000 0.0000
0.5000 0.0000 0.0000
0.0000 0.0000 0.0000
0.5000 0.5000 0.5000



Pm8In2Rh3 GGA-PBE relaxed; formation enthalpy at 0 K = -5.07 eV/f.u.; electronic total energy = -70.61 eV for the cell shown
1.0
5.0296 0.0000 0.0000
0.0000 8.7988 -5.0518
0.0000 -0.6552 9.0352
Pm Rh In
8 3 2
Direct
0.0000 0.6113 0.2223
0.5000 0.8666 0.2263
0.5000 0.3593 0.2258
0.0000 0.1140 0.2277
0.0000 0.3887 0.7777
0.5000 0.1334 0.7737
0.5000 0.6407 0.7742
0.0000 0.8860 0.7723
0.0000 0.2525 0.9996
0.0000 0.7475 0.0004
0.5000 0.0000 0.0000
0.5000 0.7443 0.4894
0.5000 0.2557 0.5106



ZnTc3N GGA-PBE relaxed; formation energy from raw total energies = 0.2918 eV/atom; electronic total energy = -78.48 eV for the cell shown
1.0
4.4098 2.1373 5.5209
6.8702 -0.8624 2.5595
6.1935 3.8026 1.2940
Tc Zn N
6 2 2
Direct
0.1180 0.7579 0.4441
0.8820 0.2421 0.5559
0.7579 0.4441 0.1180
0.4441 0.1180 0.7579
0.2421 0.5559 0.8820
0.5559 0.8820 0.2421
0.6675 0.6675 0.6675
0.3325 0.3325 0.3325
0.8343 0.8343 0.8343
0.1657 0.1657 0.1657